{"formula": "Y2BeZn2", "functional": "PBE-GGA", "state": "optimized geometry", "rho_g_cm3": 5.15, "formation_energy_kj_per_mol_atoms": -9, "crystal_system": "tetragonal", "lattice": [[6.662, 0.000, 0.000], [0.000, 6.662, 0.000], [0.000, 0.000, 4.616]], "species": ["Be", "Be", "Y", "Y", "Y", "Y", "Zn", "Zn", "Zn", "Zn"], "fractional_positions": [[0.500, 0.500, 0.000], [0.000, 0.000, 0.000], [0.825, 0.325, 0.500], [0.325, 0.175, 0.500], [0.675, 0.825, 0.500], [0.175, 0.675, 0.500], [0.864, 0.636, 0.000], [0.364, 0.864, 0.000], [0.636, 0.136, 0.000], [0.136, 0.364, 0.000]]}